{"formula": "Ho3Sb3W2N12", "functional": "PBE", "state": "relaxed", "lattice_angstrom": [[-2.828, -10.632, 1.464], [7.578, 2.889, 7.577], [-8.991, 6.409, 1.130]], "species": ["Ho", "Ho", "Ho", "Ho", "Ho", "Ho", "Ho", "Ho", "Ho", "Ho", "Ho", "Ho", "N", "N", "N", "N", "N", "N", "N", "N", "N", "N", "N", "N", "N", "N", "N", "N", "N", "N", "N", "N", "N", "N", "N", "N", "N", "N", "N", "N", "N", "N", "N", "N", "N", "N", "N", "N", "N", "N", "N", "N", "N", "N", "N", "N", "N", "N", "N", "N", "Sb", "Sb", "Sb", "Sb", "Sb", "Sb", "Sb", "Sb", "Sb", "Sb", "Sb", "Sb", "W", "W", "W", "W", "W", "W", "W", "W"], "frac_coords": [[0.250, 0.375, 0.125], [0.375, 0.750, 0.125], [0.375, 0.125, 0.250], [0.875, 0.625, 0.250], [0.750, 0.125, 0.375], [0.125, 0.250, 0.375], [0.875, 0.750, 0.625], [0.250, 0.875, 0.625], [0.125, 0.375, 0.750], [0.625, 0.875, 0.750], [0.625, 0.250, 0.875], [0.750, 0.625, 0.875], [0.203, 0.117, 0.030], [0.328, 0.913, 0.030], [0.883, 0.413, 0.085], [0.703, 0.672, 0.085], [0.617, 0.415, 0.087], [0.970, 0.672, 0.087], [0.030, 0.203, 0.117], [0.587, 0.915, 0.117], [0.203, 0.585, 0.172], [0.470, 0.587, 0.172], [0.117, 0.030, 0.203], [0.585, 0.172, 0.203], [0.470, 0.383, 0.297], [0.328, 0.915, 0.297], [0.913, 0.030, 0.328], [0.915, 0.297, 0.328], [0.297, 0.470, 0.383], [0.585, 0.913, 0.383], [0.828, 0.530, 0.413], [0.085, 0.883, 0.413], [0.087, 0.617, 0.415], [0.828, 0.797, 0.415], [0.587, 0.172, 0.470], [0.383, 0.297, 0.470], [0.617, 0.703, 0.530], [0.413, 0.828, 0.530], [0.172, 0.203, 0.585], [0.913, 0.383, 0.585], [0.915, 0.117, 0.587], [0.172, 0.470, 0.587], [0.415, 0.087, 0.617], [0.703, 0.530, 0.617], [0.087, 0.970, 0.672], [0.085, 0.703, 0.672], [0.672, 0.085, 0.703], [0.530, 0.617, 0.703], [0.415, 0.828, 0.797], [0.883, 0.970, 0.797], [0.530, 0.413, 0.828], [0.797, 0.415, 0.828], [0.970, 0.797, 0.883], [0.413, 0.085, 0.883], [0.030, 0.328, 0.913], [0.383, 0.585, 0.913], [0.297, 0.328, 0.915], [0.117, 0.587, 0.915], [0.672, 0.087, 0.970], [0.797, 0.883, 0.970], [0.875, 0.250, 0.125], [0.750, 0.875, 0.125], [0.625, 0.375, 0.250], [0.125, 0.875, 0.250], [0.250, 0.625, 0.375], [0.625, 0.750, 0.375], [0.375, 0.250, 0.625], [0.750, 0.375, 0.625], [0.875, 0.125, 0.750], [0.375, 0.625, 0.750], [0.250, 0.125, 0.875], [0.125, 0.750, 0.875], [0.000, 0.000, 0.000], [0.500, 0.000, 0.000], [0.000, 0.500, 0.000], [0.500, 0.500, 0.000], [0.000, 0.000, 0.500], [0.500, 0.000, 0.500], [0.000, 0.500, 0.500], [0.500, 0.500, 0.500]], "sg": "Ia-3d", "energy_ev_per_fu": -158.97}